Below is a geometry-optimized Ag2AsPt2 structure, with properties calculated at the PBE level.

a b c (Å): 6.468 6.468 4.355
angles (deg): 90.00 90.00 90.00
Fractional positions:
Ag: 0.155 0.345 0.000
Ag: 0.345 0.845 0.000
Ag: 0.655 0.155 0.000
Ag: 0.845 0.655 0.000
As: 0.000 0.000 0.500
As: 0.500 0.500 0.500
Pt: 0.150 0.650 0.500
Pt: 0.350 0.150 0.500
Pt: 0.650 0.850 0.500
Pt: 0.850 0.350 0.500

Output
Energy above the lowest structure with this stoichiometry   0 meV/atom
E_form   6 meV/atom